Entry from Alexandria: a relaxed Ac4IrSeI2 crystal (PBE-GGA).

Cell lengths 8.181, 4.379, 8.775 Å; angles 90.00, 106.69, 90.00 degrees
Fractional coordinates of all 8 atoms:
Ac 0.203 0.000 0.188
Ac 0.249 0.500 0.805
Ac 0.751 0.500 0.195
Ac 0.797 0.000 0.812
Ir 0.000 0.500 0.000
Se 0.500 0.000 0.000
I 0.000 0.000 0.500
I 0.500 0.500 0.500

Calculated values
Symmetry: P2/m (10)
Formation energy from raw total energies: -1.197 eV per atom

=====

Entry from Alexandria: a relaxed La8Co3RhCl4 crystal (PBE-GGA).

Cell lengths 8.976, 8.976, 8.976 Å; angles 53.84, 53.84, 53.84 degrees
Fractional coordinates of all 16 atoms:
La 0.227 0.738 0.738
La 0.233 0.233 0.233
La 0.262 0.262 0.773
La 0.262 0.773 0.262
La 0.738 0.227 0.738
La 0.738 0.738 0.227
La 0.767 0.767 0.767
La 0.773 0.262 0.262
Co 0.000 0.000 0.500
Co 0.000 0.500 0.000
Co 0.500 0.000 0.000
Rh 0.500 0.500 0.500
Cl 0.000 0.000 0.000
Cl 0.000 0.500 0.500
Cl 0.500 0.000 0.500
Cl 0.500 0.500 0.000

Calculated values
Symmetry: R-3m (166)
Formation energy from raw total energies: -1.022 eV per atom